1.
This record from Alexandria via LeMat-Bulk describes a geometry-optimized La2AlFeI structure. The functional is PBE.

Fermi-level density of states	4.1	states/eV/cell
E	-25.82	eV per cell
crystal system	tetragonal
M_tot	0.0	μB per formula unit

a b c (Å): 5.359 5.359 4.676
angles (deg): 90.00 90.00 90.00
Sites, in units of the cell vectors:
La (0.000, 0.500, 0.000)
La (0.500, 0.000, 0.000)
Al (0.000, 0.000, 0.500)
Fe (0.000, 0.000, 0.000)
I (0.500, 0.500, 0.500)

=====

2.
This record from Alexandria via LeMat-Bulk describes a geometry-optimized AlFeIN2 structure. The functional is PBE.

Fermi-level density of states	4.1	states/eV/cell
E above lowest polymorph	119	meV/atom
E	-24.84	eV per cell
crystal system	tetragonal
M_tot	0.5	μB per formula unit

a b c (Å): 3.787 3.787 5.394
angles (deg): 90.00 90.00 90.00
Sites, in units of the cell vectors:
Al (0.000, 0.000, 0.000)
Fe (0.500, 0.500, 0.500)
I (0.500, 0.500, 0.000)
N (0.000, 0.500, 0.500)
N (0.500, 0.000, 0.500)

=====

3.
This record from Alexandria via LeMat-Bulk describes a geometry-optimized AlFeI2N structure. The functional is PBE.

Fermi-level density of states	2.7	states/eV/cell
E above lowest polymorph	0	meV/atom
E	-21.70	eV per cell
crystal system	tetragonal
M_tot	0.3	μB per formula unit

a b c (Å): 5.493 5.493 3.539
angles (deg): 90.00 90.00 90.00
Sites, in units of the cell vectors:
Al (0.000, 0.000, 0.000)
Fe (0.500, 0.500, 0.500)
I (0.000, 0.500, 0.500)
I (0.500, 0.000, 0.500)
N (0.500, 0.500, 0.000)

=====

4.
This record from Alexandria via LeMat-Bulk describes a geometry-optimized AlFeIN2 structure. The functional is PBE.

Fermi-level density of states	5.4	states/eV/cell
E above lowest polymorph	0	meV/atom
E	-25.44	eV per cell
crystal system	tetragonal
M_tot	4.1	μB per formula unit

a b c (Å): 3.742 3.742 6.210
angles (deg): 90.00 90.00 90.00
Sites, in units of the cell vectors:
Al (0.000, 0.000, 0.000)
Fe (0.500, 0.500, 0.500)
I (0.000, 0.000, 0.500)
N (0.000, 0.500, 0.000)
N (0.500, 0.000, 0.000)

=====

Repeat the fourth record exactly.
This record from Alexandria via LeMat-Bulk describes a geometry-optimized AlFeIN2 structure. The functional is PBE.

Fermi-level density of states	5.4	states/eV/cell
E above lowest polymorph	0	meV/atom
E	-25.44	eV per cell
crystal system	tetragonal
M_tot	4.1	μB per formula unit

a b c (Å): 3.742 3.742 6.210
angles (deg): 90.00 90.00 90.00
Sites, in units of the cell vectors:
Al (0.000, 0.000, 0.000)
Fe (0.500, 0.500, 0.500)
I (0.000, 0.000, 0.500)
N (0.000, 0.500, 0.000)
N (0.500, 0.000, 0.000)

=====

- Fermi-level density of states of number 3 (AlFeI2N)?
  2.7 states/eV/cell

=====

- What is the formula in the third record?
  AlFeI2N